DFT (PBE) results for a geometry-optimized Y4Ga3W2C3 structure.

Results
The symmetry is C2/c (15). The uncorrected energy is -7.827 eV per atom. The value obtained for the theoretical density is 7.7 g cm⁻³.

Structure (extended XYZ):
```
24
Lattice="5.112 -2.991 0.000 5.112 2.991 0.000 -3.612 0.000 13.734" Properties=species:S:1:pos:R:3 pbc="T T T"
Y 0.843 0.422 1.430
Y 0.691 0.538 5.434
Y -0.963 -0.422 8.297
Y -1.116 -0.538 12.301
Y 7.728 0.538 1.433
Y 7.575 0.422 5.437
Y 5.922 -0.538 8.299
Y 5.769 -0.422 12.304
Ga 4.209 1.965 3.433
Ga 1.110 0.269 10.351
Ga 2.916 -0.269 3.484
Ga 3.696 0.269 10.250
Ga 5.503 -0.269 3.383
Ga 2.403 -1.965 10.300
W 4.194 0.533 0.974
W 4.225 0.533 5.893
W 2.388 -0.533 7.841
W 2.418 -0.533 12.760
C 2.556 1.495 0.000
C 2.544 1.339 6.867
C 5.874 1.339 0.000
C 0.750 -1.495 6.867
C 4.350 -1.339 0.000
C 4.068 -1.339 6.867
```

***

DFT (PBE) results for a geometry-optimized Y2Ga3W4C3 structure.

Results
The symmetry is C2/c (15). The uncorrected energy is -8.759 eV per atom. The value obtained for the theoretical density is 10.7 g cm⁻³.

Structure (extended XYZ):
```
24
Lattice="4.788 -2.772 0.000 4.788 2.772 0.000 -3.376 0.000 13.581" Properties=species:S:1:pos:R:3 pbc="T T T"
Y 2.330 2.326 8.405
Y 2.182 2.326 11.965
Y 4.018 -2.326 1.615
Y 3.870 -2.326 5.175
Ga -0.209 0.861 10.208
Ga 1.479 -0.861 3.418
Ga 3.944 0.392 3.395
Ga 2.256 -0.392 10.185
Ga 4.721 0.861 10.163
Ga 6.409 -0.861 3.373
W 2.335 0.420 1.051
W 2.299 0.533 5.739
W 0.647 -0.420 7.842
W 0.611 -0.533 12.529
W 5.589 0.533 1.052
W 5.553 0.420 5.739
W 3.901 -0.533 7.842
W 3.865 -0.420 12.529
C 0.706 1.386 6.790
C 3.962 1.341 0.000
C 3.926 1.341 6.790
C 2.394 -1.386 0.000
C 2.274 -1.341 6.790
C 5.614 -1.341 0.000
```

***

DFT (PBE) results for a geometry-optimized ZnGaW4C2 structure.

Results
The symmetry is P-6m2 (187). The uncorrected energy is -9.200 eV per atom. The value obtained for the theoretical density is 13.8 g cm⁻³.

Structure (extended XYZ):
```
8
Lattice="3.031 0.000 0.000 -1.516 2.625 0.000 0.000 0.000 13.496" Properties=species:S:1:pos:R:3 pbc="T T T"
Zn 0.000 0.000 0.000
Ga 0.000 1.750 6.748
W 0.000 0.000 4.609
W 0.000 0.000 8.887
W 0.000 1.750 2.187
W 0.000 1.750 11.309
C 1.516 0.875 3.387
C 1.516 0.875 10.109
```

***

DFT (PBE) results for a geometry-optimized Y4ZnGaC2 structure.

Results
The symmetry is P-6m2 (187). The uncorrected energy is -6.372 eV per atom. The value obtained for the theoretical density is 5.0 g cm⁻³.

Structure (extended XYZ):
```
8
Lattice="3.625 0.000 0.000 -1.813 3.140 0.000 0.000 0.000 15.020" Properties=species:S:1:pos:R:3 pbc="T T T"
Y 0.000 0.000 2.390
Y 0.000 0.000 12.630
Y 1.813 1.047 5.106
Y 1.813 1.047 9.913
Zn 1.813 1.047 0.000
Ga 0.000 0.000 7.510
C 0.000 2.093 3.684
C 0.000 2.093 11.336
```

***

DFT (PBE) results for a geometry-optimized ZnGa2C3 structure.

Results
The symmetry is P-4m2 (115). The uncorrected energy is -4.247 eV per atom. The value obtained for the theoretical density is 5.8 g cm⁻³.

Structure (extended XYZ):
```
6
Lattice="3.010 0.000 0.000 0.000 3.010 0.000 0.000 0.000 7.663" Properties=species:S:1:pos:R:3 pbc="T T T"
Zn 0.000 0.000 0.000
Ga 0.000 1.505 4.929
Ga 1.505 0.000 2.734
C 0.000 1.505 2.642
C 1.505 0.000 5.021
C 1.505 1.505 0.000
```

***

DFT (PBE) results for a geometry-optimized Zr4ZnGaC2 structure.

Results
The symmetry is P-6m2 (187). The uncorrected energy is -7.726 eV per atom. The value obtained for the theoretical density is 6.3 g cm⁻³.

Structure (extended XYZ):
```
8
Lattice="3.328 0.000 0.000 -1.664 2.882 0.000 0.000 0.000 14.374" Properties=species:S:1:pos:R:3 pbc="T T T"
Zr 0.000 0.000 2.307
Zr 0.000 0.000 12.067
Zr 0.000 1.921 4.854
Zr 0.000 1.921 9.520
Zn 0.000 0.000 7.187
Ga 0.000 1.921 0.000
C 1.664 0.961 3.578
C 1.664 0.961 10.796
```

***

Question: Which of these has the highest uncorrected energy?
Answer: ZnGa2C3